First-principles (GGA-PBE) data for an optimized crystal structure of SbOsRuS2, as listed in the Alexandria database.

Values from the calculation:
Energy relative to the elements, uncorrected in eV per atom: 1.0194
V in Å³ per cell: 113
Electronic total energy in eV per atom: -5.56
Magnetic moment in μB per cell: 2.4

Cell and atoms, written as CIF:
```
data_SbOsRuS2
_chemical_formula_sum 'Sb1 Os1 Ru1 S2'
_space_group_name_H-M_alt 'P 4/m m m'
_space_group_IT_number 123
_space_group_name_Hall '-P 4 2'
_cell_length_a 4.388
_cell_length_b 4.388
_cell_length_c 5.892
_cell_angle_alpha 90.00
_cell_angle_beta 90.00
_cell_angle_gamma 90.00
loop_
_atom_site_label
_atom_site_type_symbol
_atom_site_fract_x
_atom_site_fract_y
_atom_site_fract_z
Sb1 Sb 0.000 0.000 0.000
Os1 Os 0.000 0.000 0.500
Ru1 Ru 0.500 0.500 0.000
S1 S 0.000 0.500 0.500
```

***

First-principles (GGA-PBE) data for an optimized crystal structure of OsRuSe2S, as listed in the Alexandria database.

Values from the calculation:
Energy relative to the elements, uncorrected in eV per atom: 1.2975
V in Å³ per cell: 111
Electronic total energy in eV per atom: -5.02
Magnetic moment in μB per cell: 1.6

Cell and atoms, written as CIF:
```
data_OsRuSe2S
_chemical_formula_sum 'Os1 Ru1 Se2 S1'
_space_group_name_H-M_alt 'P 4/m m m'
_space_group_IT_number 123
_space_group_name_Hall '-P 4 2'
_cell_length_a 4.712
_cell_length_b 4.712
_cell_length_c 4.991
_cell_angle_alpha 90.00
_cell_angle_beta 90.00
_cell_angle_gamma 90.00
loop_
_atom_site_label
_atom_site_type_symbol
_atom_site_fract_x
_atom_site_fract_y
_atom_site_fract_z
Os1 Os 0.000 0.000 0.000
Ru1 Ru 0.000 0.000 0.500
Se1 Se 0.000 0.500 0.000
S1 S 0.500 0.500 0.500
```

***

First-principles (GGA-PBE) data for an optimized crystal structure of OsRu2SeS, as listed in the Alexandria database.

Values from the calculation:
Energy relative to the elements, uncorrected in eV per atom: 1.8766
V in Å³ per cell: 94
Electronic total energy in eV per atom: -5.60
Magnetic moment in μB per cell: 2.6

Cell and atoms, written as CIF:
```
data_OsRu2SeS
_chemical_formula_sum 'Os1 Ru2 Se1 S1'
_space_group_name_H-M_alt 'P 4/m m m'
_space_group_IT_number 123
_space_group_name_Hall '-P 4 2'
_cell_length_a 4.479
_cell_length_b 4.479
_cell_length_c 4.667
_cell_angle_alpha 90.00
_cell_angle_beta 90.00
_cell_angle_gamma 90.00
loop_
_atom_site_label
_atom_site_type_symbol
_atom_site_fract_x
_atom_site_fract_y
_atom_site_fract_z
Os1 Os 0.000 0.000 0.000
Ru1 Ru 0.000 0.500 0.500
Se1 Se 0.500 0.500 0.500
S1 S 0.500 0.500 0.000
```

***

First-principles (GGA-PBE) data for an optimized crystal structure of Th6OsRu3S2, as listed in the Alexandria database.

Values from the calculation:
Energy relative to the elements, uncorrected in eV per atom: -0.8678
V in Å³ per cell: 592
Electronic total energy in eV per atom: -8.52
Magnetic moment in μB per cell: 0.0

Cell and atoms, written as CIF:
```
data_Th6OsRu3S2
_chemical_formula_sum 'Th12 Os2 Ru6 S4'
_space_group_name_H-M_alt 'C 1 2/m 1'
_space_group_IT_number 12
_cell_length_a 18.439
_cell_length_b 4.081
_cell_length_c 8.264
_cell_angle_alpha 90.00
_cell_angle_beta 107.87
_cell_angle_gamma 90.00
loop_
_space_group_symop_operation_xyz
'x,y,z'
'-x,-y,-z'
'-x,y,-z'
'x,-y,z'
'x+1/2,y+1/2,z'
'-x+1/2,-y+1/2,-z'
'-x+1/2,y+1/2,-z'
'x+1/2,-y+1/2,z'
loop_
_atom_site_label
_atom_site_type_symbol
_atom_site_fract_x
_atom_site_fract_y
_atom_site_fract_z
Th1 Th 0.004 0.000 0.250
Th2 Th 0.157 0.500 0.596
Th3 Th 0.163 0.500 0.132
Os1 Os 0.000 0.500 0.500
Ru1 Ru 0.000 0.500 0.000
Ru2 Ru 0.190 0.000 0.384
S1 S 0.173 0.000 0.870
```

***

First-principles (GGA-PBE) data for an optimized crystal structure of Th6OsRu2S3, as listed in the Alexandria database.

Values from the calculation:
Energy relative to the elements, uncorrected in eV per atom: -1.1002
V in Å³ per cell: 613
Electronic total energy in eV per atom: -8.32
Magnetic moment in μB per cell: 0.0

Cell and atoms, written as CIF:
```
data_Th6OsRu2S3
_chemical_formula_sum 'Th12 Os2 Ru4 S6'
_space_group_name_H-M_alt 'C 1 2/m 1'
_space_group_IT_number 12
_cell_length_a 18.530
_cell_length_b 4.056
_cell_length_c 8.553
_cell_angle_alpha 90.00
_cell_angle_beta 107.57
_cell_angle_gamma 90.00
loop_
_space_group_symop_operation_xyz
'x,y,z'
'-x,-y,-z'
'-x,y,-z'
'x,-y,z'
'x+1/2,y+1/2,z'
'-x+1/2,-y+1/2,-z'
'-x+1/2,y+1/2,-z'
'x+1/2,-y+1/2,z'
loop_
_atom_site_label
_atom_site_type_symbol
_atom_site_fract_x
_atom_site_fract_y
_atom_site_fract_z
Th1 Th 0.005 0.000 0.235
Th2 Th 0.161 0.500 0.098
Th3 Th 0.173 0.500 0.568
Os1 Os 0.000 0.500 0.000
Ru1 Ru 0.167 0.000 0.334
S1 S 0.000 0.500 0.500
S2 S 0.167 0.000 0.833
```

***

First-principles (GGA-PBE) data for an optimized crystal structure of TlOsRuS2, as listed in the Alexandria database.

Values from the calculation:
Energy relative to the elements, uncorrected in eV per atom: 0.9488
V in Å³ per cell: 103
Electronic total energy in eV per atom: -5.28
Magnetic moment in μB per cell: 0.0

Cell and atoms, written as CIF:
```
data_TlOsRuS2
_chemical_formula_sum 'Tl1 Os1 Ru1 S2'
_space_group_name_H-M_alt 'P 4/m m m'
_space_group_IT_number 123
_space_group_name_Hall '-P 4 2'
_cell_length_a 4.597
_cell_length_b 4.597
_cell_length_c 4.867
_cell_angle_alpha 90.00
_cell_angle_beta 90.00
_cell_angle_gamma 90.00
loop_
_atom_site_label
_atom_site_type_symbol
_atom_site_fract_x
_atom_site_fract_y
_atom_site_fract_z
Tl1 Tl 0.000 0.000 0.000
Os1 Os 0.500 0.500 0.000
Ru1 Ru 0.500 0.500 0.500
S1 S 0.000 0.500 0.500
```

***

First-principles (GGA-PBE) data for an optimized crystal structure of Sb4OsRu, as listed in the Alexandria database.

Values from the calculation:
Energy relative to the elements, uncorrected in eV per atom: 1.5537
V in Å³ per cell: 573
Electronic total energy in eV per atom: -4.61
Magnetic moment in μB per cell: 1.2

Cell and atoms, written as CIF:
```
data_Sb4OsRu
_chemical_formula_sum 'Sb16 Os4 Ru4'
_space_group_name_H-M_alt 'F -4 3 m'
_space_group_IT_number 216
_space_group_name_Hall 'F -4 2 3'
_cell_length_a 8.304
_cell_length_b 8.304
_cell_length_c 8.304
_cell_angle_alpha 90.00
_cell_angle_beta 90.00
_cell_angle_gamma 90.00
loop_
_atom_site_label
_atom_site_type_symbol
_atom_site_fract_x
_atom_site_fract_y
_atom_site_fract_z
Sb1 Sb 0.125 0.125 0.125
Os1 Os 0.250 0.250 0.750
Ru1 Ru 0.000 0.000 0.500
```

***

First-principles (GGA-PBE) data for an optimized crystal structure of SbOs2Ru, as listed in the Alexandria database.

Values from the calculation:
Energy relative to the elements, uncorrected in eV per atom: 0.6369
V in Å³ per cell: 191
Electronic total energy in eV per atom: -8.33
Magnetic moment in μB per cell: 0.0

Cell and atoms, written as CIF:
```
data_SbOs2Ru
_chemical_formula_sum 'Sb3 Os6 Ru3'
_space_group_name_H-M_alt 'R -3 m'
_space_group_IT_number 166
_space_group_name_Hall '-R 3 2"'
_cell_length_a 2.9187
_cell_length_b 2.9187
_cell_length_c 25.9274
_cell_angle_alpha 90.00
_cell_angle_beta 90.00
_cell_angle_gamma 120.00
loop_
_atom_site_label
_atom_site_type_symbol
_atom_site_fract_x
_atom_site_fract_y
_atom_site_fract_z
Sb1 Sb 0.0000 0.0000 0.0000
Os1 Os 0.0000 0.0000 0.2481
Ru1 Ru 0.0000 0.0000 0.5000
```

***

First-principles (GGA-PBE) data for an optimized crystal structure of SbOs2Ru, as listed in the Alexandria database.

Values from the calculation:
Energy relative to the elements, uncorrected in eV per atom: 0.4225
V in Å³ per cell: 127
Electronic total energy in eV per atom: -8.54
Magnetic moment in μB per cell: 0.0

Cell and atoms, written as CIF:
```
data_SbOs2Ru
_chemical_formula_sum 'Sb2 Os4 Ru2'
_space_group_name_H-M_alt 'C 1 2/m 1'
_space_group_IT_number 12
_cell_length_a 9.321
_cell_length_b 2.914
_cell_length_c 4.704
_cell_angle_alpha 90.00
_cell_angle_beta 97.56
_cell_angle_gamma 90.00
loop_
_space_group_symop_operation_xyz
'x,y,z'
'-x,-y,-z'
'-x,y,-z'
'x,-y,z'
'x+1/2,y+1/2,z'
'-x+1/2,-y+1/2,-z'
'-x+1/2,y+1/2,-z'
'x+1/2,-y+1/2,z'
loop_
_atom_site_label
_atom_site_type_symbol
_atom_site_fract_x
_atom_site_fract_y
_atom_site_fract_z
Sb1 Sb 0.000 0.000 0.000
Os1 Os 0.236 0.000 0.727
Ru1 Ru 0.000 0.500 0.500
```

***

First-principles (GGA-PBE) data for an optimized crystal structure of SbOs2Ru, as listed in the Alexandria database.

Values from the calculation:
Energy relative to the elements, uncorrected in eV per atom: 0.9760
V in Å³ per cell: 134
Electronic total energy in eV per atom: -7.99
Magnetic moment in μB per cell: 0.0

Cell and atoms, written as CIF:
```
data_SbOs2Ru
_chemical_formula_sum 'Sb2 Os4 Ru2'
_space_group_name_H-M_alt 'C m m m'
_space_group_IT_number 65
_space_group_name_Hall '-C 2 2'
_cell_length_a 2.830
_cell_length_b 4.929
_cell_length_c 9.626
_cell_angle_alpha 90.00
_cell_angle_beta 90.00
_cell_angle_gamma 90.00
loop_
_atom_site_label
_atom_site_type_symbol
_atom_site_fract_x
_atom_site_fract_y
_atom_site_fract_z
Sb1 Sb 0.000 0.000 0.000
Os1 Os 0.000 0.500 0.272
Ru1 Ru 0.000 0.000 0.500
```

***

First-principles (GGA-PBE) data for an optimized crystal structure of SbOs3Ru, as listed in the Alexandria database.

Values from the calculation:
Energy relative to the elements, uncorrected in eV per atom: 2.0989
V in Å³ per cell: 103
Electronic total energy in eV per atom: -7.32
Magnetic moment in μB per cell: 0.0

Cell and atoms, written as CIF:
```
data_SbOs3Ru
_chemical_formula_sum 'Sb1 Os3 Ru1'
_space_group_name_H-M_alt 'P m -3 m'
_space_group_IT_number 221
_space_group_name_Hall '-P 4 2 3'
_cell_length_a 4.692
_cell_length_b 4.692
_cell_length_c 4.692
_cell_angle_alpha 90.00
_cell_angle_beta 90.00
_cell_angle_gamma 90.00
loop_
_atom_site_label
_atom_site_type_symbol
_atom_site_fract_x
_atom_site_fract_y
_atom_site_fract_z
Sb1 Sb 0.000 0.000 0.000
Os1 Os 0.000 0.500 0.500
Ru1 Ru 0.500 0.500 0.500
```

***

First-principles (GGA-PBE) data for an optimized crystal structure of Sb6OsRu, as listed in the Alexandria database.

Values from the calculation:
Energy relative to the elements, uncorrected in eV per atom: -0.0451
V in Å³ per cell: 830
Electronic total energy in eV per atom: -5.70
Magnetic moment in μB per cell: 0.0

Cell and atoms, written as CIF:
```
data_Sb6OsRu
_chemical_formula_sum 'Sb24 Os4 Ru4'
_space_group_name_H-M_alt 'C 1 2/m 1'
_space_group_IT_number 12
_cell_length_a 13.263
_cell_length_b 9.400
_cell_length_c 9.398
_cell_angle_alpha 90.00
_cell_angle_beta 134.86
_cell_angle_gamma 90.00
loop_
_space_group_symop_operation_xyz
'x,y,z'
'-x,-y,-z'
'-x,y,-z'
'x,-y,z'
'x+1/2,y+1/2,z'
'-x+1/2,-y+1/2,-z'
'-x+1/2,y+1/2,-z'
'x+1/2,-y+1/2,z'
loop_
_atom_site_label
_atom_site_type_symbol
_atom_site_fract_x
_atom_site_fract_y
_atom_site_fract_z
Sb1 Sb 0.000 0.156 0.163
Sb2 Sb 0.156 0.337 0.657
Sb3 Sb 0.162 0.500 0.005
Sb4 Sb 0.163 0.500 0.318
Os1 Os 0.250 0.250 0.500
Ru1 Ru 0.250 0.250 0.000
```

***

Among the records above, which one has the lowest electronic total energy?
number 9